(1)
# RbCo, relaxed, DFT PBE
# Electronic total energy: -3.17 eV per atom
# ΔE_f: 0.868 eV/atom
data_RbCo
_chemical_formula_sum 'Rb4 Co4'
_space_group_name_H-M_alt 'I m m a'
_space_group_IT_number 74
_space_group_name_Hall '-I 2b 2'
_cell_length_a 3.729
_cell_length_b 5.837
_cell_length_c 11.924
_cell_angle_alpha 90.00
_cell_angle_beta 90.00
_cell_angle_gamma 90.00
loop_
_atom_site_label
_atom_site_fract_x
_atom_site_fract_y
_atom_site_fract_z
Rb1 0.000 0.250 0.103
Co1 0.000 0.250 0.702

(2)
# CaBeCuSi2, relaxed, DFT PBE
# Electronic total energy: -4.47 eV per atom
# ΔE_f (raw): -340 meV per atom
data_CaBeCuSi2
_chemical_formula_sum 'Ca2 Be2 Cu2 Si4'
_space_group_name_H-M_alt 'I -4 m 2'
_space_group_IT_number 119
_space_group_name_Hall 'I -4 -2'
_cell_length_a 3.968
_cell_length_b 3.968
_cell_length_c 9.973
_cell_angle_alpha 90.00
_cell_angle_beta 90.00
_cell_angle_gamma 90.00
loop_
_atom_site_label
_atom_site_fract_x
_atom_site_fract_y
_atom_site_fract_z
Ca1 0.000 0.000 0.000
Be1 0.000 0.500 0.250
Cu1 0.000 0.500 0.750
Si1 0.000 0.000 0.380

(3)
# BaTl8Au4, relaxed, DFT PBE
# Electronic total energy: -2.71 eV per atom
# ΔE_f: -0.099 eV/atom
data_BaTl8Au4
_chemical_formula_sum 'Ba2 Tl16 Au8'
_space_group_name_H-M_alt 'I 4/m m m'
_space_group_IT_number 139
_space_group_name_Hall '-I 4 2'
_cell_length_a 11.019
_cell_length_b 11.019
_cell_length_c 5.841
_cell_angle_alpha 90.00
_cell_angle_beta 90.00
_cell_angle_gamma 90.00
loop_
_atom_site_label
_atom_site_fract_x
_atom_site_fract_y
_atom_site_fract_z
Ba1 0.000 0.000 0.000
Tl1 0.000 0.217 0.500
Tl2 0.000 0.351 0.000
Au1 0.250 0.250 0.250

(4)
# Sr2Al3CuAu12, relaxed, DFT PBE
# Electronic total energy: -3.40 eV per atom
# ΔE_f: -0.181 eV/atom
data_Sr2Al3CuAu12
_chemical_formula_sum 'Sr6 Al9 Cu3 Au36'
_space_group_name_H-M_alt 'R -3 m'
_space_group_IT_number 166
_space_group_name_Hall '-R 3 2"'
_cell_length_a 8.5926
_cell_length_b 8.5926
_cell_length_c 20.1501
_cell_angle_alpha 90.00
_cell_angle_beta 90.00
_cell_angle_gamma 120.00
loop_
_atom_site_label
_atom_site_fract_x
_atom_site_fract_y
_atom_site_fract_z
Sr1 0.0000 0.0000 0.1229
Al1 0.0000 0.5000 0.0000
Cu1 0.0000 0.0000 0.5000
Au1 0.0147 0.5073 0.1242
Au2 0.0263 0.5131 0.3728